No. 1
Entry from Alexandria: an optimized crystal structure of TaCuNi2Ge (PBE).

Properties
- space-group type = P4/mmm
- DOS(E_F) (states/eV/cell) = 5.70
- E (eV/atom) = -5.6155

abc: 4.271 4.248 4.271
angles: 90.00 90.00 90.00
Atoms (fractional coordinates):
Ni: 0.000 0.000 0.500
Ni: 0.500 0.000 0.000
Ge: 0.000 0.500 0.000
Cu: 0.000 0.000 0.000
Ta: 0.500 0.500 0.500

No. 2
Entry from Alexandria: an optimized crystal structure of Tb2Cu3NiGe4 (PBE).

Properties
- space-group type = P-4m2
- DOS(E_F) (states/eV/cell) = 4.50
- E (eV/atom) = -5.0981

abc: 4.098 4.098 10.110
angles: 90.00 90.00 90.00
Atoms (fractional coordinates):
Tb: 0.500 0.000 0.258
Tb: 0.000 0.500 0.742
Cu: 0.000 0.000 0.500
Cu: 0.500 0.000 0.863
Cu: 0.000 0.500 0.137
Ni: 0.500 0.500 0.500
Ge: 0.500 0.500 0.000
Ge: 0.000 0.000 0.000
Ge: 0.500 0.000 0.627
Ge: 0.000 0.500 0.373

No. 3
Entry from Alexandria: an optimized crystal structure of Tb2CuNi4Ge3 (PBE).

Properties
- space-group type = P-4m2
- DOS(E_F) (states/eV/cell) = 7.80
- E (eV/atom) = -5.6396

abc: 4.050 4.050 9.732
angles: 90.00 90.00 90.00
Atoms (fractional coordinates):
Tb: 0.500 0.000 0.255
Tb: 0.000 0.500 0.745
Cu: 0.500 0.500 0.500
Ni: 0.500 0.500 0.000
Ni: 0.000 0.000 0.000
Ni: 0.500 0.000 0.630
Ni: 0.000 0.500 0.370
Ge: 0.000 0.000 0.500
Ge: 0.500 0.000 0.869
Ge: 0.000 0.500 0.131

No. 4
Entry from Alexandria: an optimized crystal structure of Th2CuNi4Ge3 (PBE).

Properties
- space-group type = P-4m2
- DOS(E_F) (states/eV/cell) = 5.95
- E (eV/atom) = -6.2238

abc: 4.156 4.156 9.640
angles: 90.00 90.00 90.00
Atoms (fractional coordinates):
Th: 0.500 0.000 0.248
Th: 0.000 0.500 0.752
Cu: 0.500 0.500 0.500
Ni: 0.500 0.500 0.000
Ni: 0.000 0.000 0.000
Ni: 0.500 0.000 0.626
Ni: 0.000 0.500 0.374
Ge: 0.000 0.000 0.500
Ge: 0.500 0.000 0.871
Ge: 0.000 0.500 0.129

No. 5
Entry from Alexandria: an optimized crystal structure of ThCuNi5Ge2 (PBE).

Properties
- space-group type = P4/mmm
- DOS(E_F) (states/eV/cell) = 3.78
- E (eV/atom) = -5.6109

abc: 3.946 3.946 8.744
angles: 90.00 90.00 90.00
Atoms (fractional coordinates):
Th: 0.000 0.000 0.500
Cu: 0.000 0.000 0.000
Ni: 0.000 0.500 0.275
Ni: 0.500 0.000 0.275
Ni: 0.000 0.500 0.725
Ni: 0.500 0.000 0.725
Ni: 0.500 0.500 0.500
Ge: 0.500 0.500 0.134
Ge: 0.500 0.500 0.866

No. 6
Entry from Alexandria: an optimized crystal structure of ThCuNiGe2 (PBE).

Properties
- space-group type = I-4m2
- DOS(E_F) (states/eV/cell) = 1.60
- E (eV/atom) = -5.9170

abc: 4.177 4.177 5.799
angles: 111.11 111.11 90.00
Atoms (fractional coordinates):
Th: 0.000 0.000 0.000
Cu: 0.250 0.750 0.500
Ni: 0.750 0.250 0.500
Ge: 0.628 0.628 0.256
Ge: 0.372 0.372 0.744

No. 7
Entry from Alexandria: an optimized crystal structure of Th2Cu3Ni12Ge (PBE).

Properties
- space-group type = R-3m
- DOS(E_F) (states/eV/cell) = 17.78
- E (eV/atom) = -5.5131

abc: 8.845 8.845 8.845
angles: 40.74 40.74 40.74
Atoms (fractional coordinates):
Th: 0.649 0.649 0.649
Th: 0.351 0.351 0.351
Cu: 0.500 0.000 0.000
Cu: 0.000 0.500 0.000
Cu: 0.000 0.000 0.500
Ni: 0.422 0.422 0.805
Ni: 0.913 0.913 0.374
Ni: 0.374 0.913 0.913
Ni: 0.805 0.422 0.422
Ni: 0.913 0.374 0.913
Ni: 0.422 0.805 0.422
Ni: 0.578 0.578 0.195
Ni: 0.087 0.087 0.626
Ni: 0.626 0.087 0.087
Ni: 0.195 0.578 0.578
Ni: 0.087 0.626 0.087
Ni: 0.578 0.195 0.578
Ge: 0.000 0.000 0.000

No. 8
Entry from Alexandria: an optimized crystal structure of TiCuNiGe (PBE).

Properties
- space-group type = F-43m
- DOS(E_F) (states/eV/cell) = 1.94
- E (eV/atom) = -5.9068

abc: 4.213 4.213 4.213
angles: 60.00 60.00 60.00
Atoms (fractional coordinates):
Ni: 0.250 0.250 0.250
Ge: 0.500 0.500 0.500
Cu: 0.750 0.750 0.750
Ti: 0.000 0.000 0.000